SrNiTe2: relaxed, GGA-PBEsol.

Cell and atoms, written as POSCAR:
```
SrNiTe2
1.0
-0.709 -1.795 -3.375
3.268 -2.916 0.864
-5.184 -2.934 2.649
Sr Te Ni
1 2 1
direct
0.500 0.500 0.000 Sr
0.000 0.071 0.273 Te
0.000 0.929 0.727 Te
0.500 0.000 0.500 Ni
```

Computed properties:
For the formation energy (no corrections), the calculation gives -0.68 eV/atom. Its density of states at the Fermi level is 1.42 states/eV/f.u.